DFT (PBE with a Hubbard U) results for crystalline ZrVPbF2 at its relaxed geometry.

size of the total moment	0.000	μB per formula unit
E	-5.376	eV/atom
density of states at the Fermi level	4.60	states/eV/f.u.
crystal system	tetragonal

abc: 4.0669 4.0669 5.6957
angles: 90.00 90.00 90.00
Positions (direct):
Zr (0.0000, 0.0000, 0.0000)
V (0.0000, 0.0000, 0.5000)
Pb (0.5000, 0.5000, 0.0000)
F (0.0000, 0.5000, 0.5000)
F (0.5000, 0.0000, 0.5000)